[1]
DFT (PBE-GGA) results for a relaxed Ac2TbPr6 crystal.

Results
Space group: P-6m2
Formation energy, meV/atom: 73.7
E above lowest polymorph, meV per atom: 0

Unit cell a=3.7659 b=3.7659 c=27.8307 alpha=90.00 beta=90.00 gamma=120.00
With the nearest neighbours (Å) after each atom.
Fractional coordinates of all 9 atoms:
Pr (0.3333, 0.6667, 0.7882)  9 Pr 3.70-3.77, 3 Ac 3.89
Pr (0.6667, 0.3333, 0.1041)  3 Tb 3.62, 9 Pr 3.70-3.77
Pr (0.3333, 0.6667, 0.4381)  7 Pr 3.44-3.77, 3 Ac 3.77
Pr (0.3333, 0.6667, 0.2118)  9 Pr 3.70-3.77, 3 Ac 3.89
Pr (0.6667, 0.3333, 0.8959)  3 Tb 3.62, 9 Pr 3.70-3.77
Pr (0.3333, 0.6667, 0.5619)  7 Pr 3.44-3.77, 3 Ac 3.77
Ac (0.6667, 0.3333, 0.6724)  6 Ac 3.77, 6 Pr 3.77-3.89
Ac (0.6667, 0.3333, 0.3276)  6 Ac 3.77, 6 Pr 3.77-3.89
Tb (0.3333, 0.6667, 0.0000)  6 Pr 3.62, 6 Tb 3.77

***

[2]
DFT (PBE-GGA) results for a relaxed Hf4CdHg2 crystal.

Results
Space group: Cmmm
Formation energy, meV/atom: 36.3

Unit cell a=3.1639 b=5.2140 c=9.9627 alpha=105.17 beta=90.00 gamma=90.00
With the nearest neighbours (Å) after each atom.
Fractional coordinates of all 7 atoms:
Hg (0.5000, 0.0748, 0.1496)  3 Hg 2.88-3.16, 4 Hf 2.98-3.15
Hg (0.5000, 0.9252, 0.8504)  3 Hg 2.88-3.16, 4 Hf 2.98-3.15
Hf (0.5000, 0.3504, 0.7008)  2 Hg 2.98, 8 Hf 3.03-3.31, 2 Cd 3.28
Hf (0.5000, 0.6496, 0.2992)  2 Hg 2.98, 8 Hf 3.03-3.31, 2 Cd 3.28
Hf (0.0000, 0.7838, 0.5676)  6 Hf 2.91-3.16, 2 Hg 3.15
Hf (0.0000, 0.2162, 0.4324)  6 Hf 2.91-3.16, 2 Hg 3.15
Cd (0.0000, 0.5000, 0.0000)  2 Cd 3.16, 4 Hf 3.28, 8 Hg 3.37

***

[3]
DFT (PBE-GGA) results for a relaxed HoTlPd5 crystal.

Results
Space group: Cmmm
Formation energy, meV/atom: -476.3

Unit cell a=4.9181 b=4.9181 c=11.5658 alpha=90.01 beta=90.01 gamma=72.34
With the nearest neighbours (Å) after each atom.
Fractional coordinates of all 14 atoms:
Pd (0.0003, 0.4998, 0.6231)  2 Tl 2.84, 6 Pd 2.85-2.94, 2 Ho 2.86
Pd (0.5002, 0.9997, 0.8769)  2 Tl 2.84, 6 Pd 2.85-2.94, 2 Ho 2.86
Pd (0.4998, 0.0003, 0.1231)  2 Tl 2.84, 6 Pd 2.85-2.94, 2 Ho 2.86
Pd (0.0003, 0.4998, 0.8769)  2 Tl 2.84, 6 Pd 2.85-2.94, 2 Ho 2.86
Pd (0.9998, 0.0002, 0.2500)  8 Pd 2.86, 2 Tl 2.89, 2 Ho 2.90
Pd (0.0002, 0.9998, 0.7500)  8 Pd 2.86, 2 Tl 2.89, 2 Ho 2.90
Pd (0.9997, 0.5002, 0.1231)  2 Tl 2.84, 6 Pd 2.85-2.94, 2 Ho 2.86
Pd (0.4998, 0.0003, 0.3769)  2 Tl 2.84, 6 Pd 2.85-2.94, 2 Ho 2.86
Pd (0.5002, 0.9997, 0.6231)  2 Tl 2.84, 6 Pd 2.85-2.94, 2 Ho 2.86
Pd (0.9997, 0.5002, 0.3769)  2 Tl 2.84, 6 Pd 2.85-2.94, 2 Ho 2.86
Ho (0.5003, 0.4997, 0.7500)  10 Pd 2.86-2.90
Ho (0.4997, 0.5003, 0.2500)  10 Pd 2.86-2.90
Tl (0.0000, 0.0000, 0.5000)  10 Pd 2.84-2.89
Tl (0.0000, 0.0000, 0.0000)  10 Pd 2.84-2.89

***

[4]
DFT (PBE-GGA) results for a relaxed RbTl2Re crystal.

Results
Space group: I-42d
Formation energy, meV/atom: 963.9
E above lowest polymorph, meV per atom: 0

Unit cell a=6.7433 b=6.7433 c=9.3804 alpha=68.93 beta=68.93 gamma=90.00
With the nearest neighbours (Å) after each atom.
Fractional coordinates of all 8 atoms:
Rb (0.5000, 0.5000, 0.0000)  8 Tl 4.19-4.36
Rb (0.2500, 0.7500, 0.5000)  8 Tl 4.19-4.36
Tl (0.8585, 0.1250, 0.2500)  2 Re 2.63
Tl (0.3750, 0.1415, 0.7500)  2 Re 2.63
Tl (0.8750, 0.1085, 0.7500)  2 Re 2.63
Tl (0.8915, 0.6250, 0.2500)  2 Re 2.63
Re (0.7500, 0.2500, 0.5000)  4 Tl 2.63
Re (0.0000, 0.0000, 0.0000)  4 Tl 2.63

***

[5]
DFT (PBE-GGA) results for a relaxed CeBi12Rh4 crystal.

Results
Space group: Im-3
Formation energy, meV/atom: -222.1

Unit cell a=8.5275 b=8.5274 c=8.5274 alpha=109.47 beta=109.47 gamma=109.47
With the nearest neighbours (Å) after each atom.
Fractional coordinates of all 17 atoms:
Bi (0.1738, 0.8408, 0.3329)  2 Rh 2.74
Bi (0.1592, 0.6671, 0.8262)  2 Rh 2.74
Bi (0.3329, 0.4921, 0.1592)  2 Rh 2.74
Bi (0.8408, 0.3329, 0.1738)  2 Rh 2.74
Bi (0.3329, 0.1738, 0.8408)  2 Rh 2.74
Bi (0.6671, 0.8262, 0.1592)  2 Rh 2.74
Bi (0.8262, 0.1592, 0.6671)  2 Rh 2.74
Bi (0.4921, 0.1592, 0.3329)  2 Rh 2.74
Bi (0.8408, 0.6671, 0.5079)  2 Rh 2.74
Bi (0.5079, 0.8408, 0.6671)  2 Rh 2.74
Bi (0.1592, 0.3329, 0.4921)  2 Rh 2.74
Bi (0.6671, 0.5079, 0.8408)  2 Rh 2.74
Rh (0.5000, 0.5000, 0.5000)  6 Bi 2.74
Rh (0.0000, 0.0000, 0.5000)  6 Bi 2.74
Rh (0.5000, 0.0000, 0.0000)  6 Bi 2.74
Rh (0.0000, 0.5000, 0.0000)  6 Bi 2.74
Ce (0.0000, 0.0000, 0.0000)  12 Bi 3.63

***

[6]
DFT (PBE-GGA) results for a relaxed DyCo2Ge crystal.

Results
Space group: P4/nmm
Formation energy, meV/atom: -259.8

Unit cell a=3.7919 b=3.7919 c=9.1680 alpha=90.00 beta=90.00 gamma=90.00
With the nearest neighbours (Å) after each atom.
Fractional coordinates of all 8 atoms:
Co (0.0000, 0.5000, 0.0771)  1 Ge 2.50, 1 Dy 2.71
Co (0.0000, 0.0000, 0.5000)  4 Ge 2.34
Co (0.5000, 0.0000, 0.9229)  1 Ge 2.50, 1 Dy 2.71
Co (0.5000, 0.5000, 0.5000)  4 Ge 2.34
Ge (0.5000, 0.0000, 0.6504)  5 Co 2.34-2.50
Ge (0.0000, 0.5000, 0.3496)  5 Co 2.34-2.50
Dy (0.5000, 0.0000, 0.2180)  5 Co 2.71-2.98, 4 Ge 2.94
Dy (0.0000, 0.5000, 0.7820)  5 Co 2.71-2.98, 4 Ge 2.94

***

[7]
DFT (PBE-GGA) results for a relaxed LiPa crystal.

Results
Space group: P2_1/m
Formation energy, meV/atom: 287.7
E above lowest polymorph, meV per atom: 142

Unit cell a=4.3483 b=3.0741 c=7.3581 alpha=65.88 beta=90.00 gamma=90.00
With the nearest neighbours (Å) after each atom.
Fractional coordinates of all 4 atoms:
Li (0.2500, 0.8599, 0.8954)  6 Li 2.99-3.07, 5 Pa 3.32-3.33
Li (0.7500, 0.1401, 0.1046)  6 Li 2.99-3.07, 5 Pa 3.32-3.33
Pa (0.2500, 0.3478, 0.4002)  6 Pa 2.98-3.07, 5 Li 3.32-3.33
Pa (0.7500, 0.6522, 0.5998)  6 Pa 2.98-3.07, 5 Li 3.32-3.33

***

[8]
DFT (PBE-GGA) results for a relaxed MgTlIn2 crystal.

Results
Space group: Pmm2
Formation energy, meV/atom: -4.3

Unit cell a=3.3830 b=4.6373 c=6.7035 alpha=90.00 beta=90.00 gamma=90.00
With the nearest neighbours (Å) after each atom.
Fractional coordinates of all 4 atoms:
Tl (0.5000, 0.5000, 0.7424)  6 In 3.25-3.45, 4 Mg 3.32, 2 Tl 3.38
In (0.0000, 0.0000, 0.0057)  2 Mg 3.28-3.43, 6 In 3.33-3.38, 4 Tl 3.37
In (0.5000, 0.5000, 0.2573)  2 Tl 3.25-3.45, 4 Mg 3.28, 6 In 3.33-3.38
Mg (0.0000, 0.0000, 0.4946)  6 In 3.28-3.43, 4 Tl 3.32, 2 Mg 3.38

***

[9]
DFT (PBE-GGA) results for a relaxed TaRu2Au crystal.

Results
Space group: Fm-3m
Formation energy, meV/atom: 31.7
E above lowest polymorph, meV per atom: 189

Unit cell a=4.4783 b=4.4783 c=4.4783 alpha=60.00 beta=60.00 gamma=60.00
With the nearest neighbours (Å) after each atom.
Fractional coordinates of all 4 atoms:
Au (0.5000, 0.5000, 0.5000)  8 Ru 2.74
Ru (0.7500, 0.7500, 0.7500)  4 Au 2.74, 4 Ta 2.74
Ru (0.2500, 0.2500, 0.2500)  4 Au 2.74, 4 Ta 2.74
Ta (0.0000, 0.0000, 0.0000)  8 Ru 2.74

***

[10]
DFT (PBE-GGA) results for a relaxed NiSbSe2 crystal.

Results
Space group: Cm
ΔE_f (raw), meV per atom: -142

Unit cell a=3.7772 b=3.7772 c=7.5960 alpha=79.03 beta=79.03 gamma=59.99
With the nearest neighbours (Å) after each atom.
Fractional coordinates of all 4 atoms:
Se (0.9585, 0.9585, 0.0510)  3 Sb 2.80-2.81
Se (0.8081, 0.8081, 0.6343)  3 Ni 2.32-2.33
Sb (0.2310, 0.2310, 0.2891)  3 Ni 2.79-2.80, 3 Se 2.80-2.81
Ni (0.5024, 0.5024, 0.5256)  3 Se 2.32-2.33

***

[11]
DFT (PBE-GGA) results for a relaxed Ac4La8Tm crystal.

Results
Space group: R-3m
Formation energy, meV/atom: 467.8

Unit cell a=11.8205 b=11.8205 c=8.2749 alpha=90.00 beta=135.58 gamma=120.00
With the nearest neighbours (Å) after each atom.
Fractional coordinates of all 13 atoms:
Tm (0.0000, 0.5000, 0.5000)  8 La 3.66-3.73
La (0.0136, 0.2502, 0.7770)  4 Ac 3.48-3.64, 1 Tm 3.73
La (0.4732, 0.2366, 0.2229)  4 Ac 3.48-3.64, 1 Tm 3.73
La (0.5268, 0.7634, 0.7771)  4 Ac 3.48-3.64, 1 Tm 3.73
La (0.5211, 0.7605, 0.2816)  4 Ac 3.36-3.66, 1 Tm 3.66
La (0.4789, 0.2395, 0.7184)  4 Ac 3.36-3.66, 1 Tm 3.66
La (0.9864, 0.7498, 0.2230)  4 Ac 3.48-3.64, 1 Tm 3.73
La (0.0136, 0.7634, 0.7770)  4 Ac 3.48-3.64, 1 Tm 3.73
La (0.9864, 0.2366, 0.2230)  4 Ac 3.48-3.64, 1 Tm 3.73
Ac (0.0000, 0.5000, 0.0000)  8 La 3.61-3.66
Ac (0.5000, 0.0000, 0.0000)  8 La 3.61-3.66
Ac (0.5000, 0.5000, 0.0000)  8 La 3.61-3.66
Ac (0.0000, 0.0000, 0.0000)  8 La 3.36-3.48

***

[12]
DFT (PBE-GGA) results for a relaxed LiAcPrPb crystal.

Results
Space group: F-43m
Formation energy, meV/atom: -286.0

Unit cell a=5.6576 b=5.6576 c=5.6576 alpha=60.00 beta=60.00 gamma=60.00
With the nearest neighbours (Å) after each atom.
Fractional coordinates of all 4 atoms:
Li (0.0000, 0.0000, 0.0000)  4 Ac 3.46, 4 Pr 3.46
Pb (0.5000, 0.5000, 0.5000)  4 Pr 3.46, 4 Ac 3.46
Ac (0.7500, 0.7500, 0.7500)  4 Li 3.46, 4 Pb 3.46
Pr (0.2500, 0.2500, 0.2500)  4 Li 3.46, 4 Pb 3.46

***

[13]
DFT (PBE-GGA) results for a relaxed Tl2MoI4Cl2 crystal.

Results
Space group: C2/m
ΔE_f (raw), meV per atom: -551

Unit cell a=6.6893 b=7.4612 c=7.4612 alpha=65.71 beta=80.73 gamma=80.73
With the nearest neighbours (Å) after each atom.
Fractional coordinates of all 9 atoms:
I (0.7026, 0.3392, 0.8512)  1 Mo 2.79
I (0.7026, 0.8512, 0.3392)  1 Mo 2.79
I (0.2974, 0.1488, 0.6608)  1 Mo 2.79
I (0.2974, 0.6608, 0.1488)  1 Mo 2.79
Tl (0.2801, 0.6674, 0.6674)  6 I 3.48-3.87, 1 Cl 3.72
Tl (0.7199, 0.3326, 0.3326)  6 I 3.48-3.87, 1 Cl 3.72
Cl (0.7677, 0.8460, 0.8460)  1 Mo 2.37
Cl (0.2323, 0.1540, 0.1540)  1 Mo 2.37
Mo (0.5000, 0.0000, 0.0000)  2 Cl 2.37

***

[14]
DFT (PBE-GGA) results for a relaxed TaSnW2I crystal.

Results
Space group: P4/mmm
ΔE_f (raw), meV per atom: 2403

Unit cell a=4.8996 b=5.0048 c=4.8996 alpha=90.00 beta=90.00 gamma=90.00
With the nearest neighbours (Å) after each atom.
Fractional coordinates of all 5 atoms:
W (0.5000, 0.0000, 0.0000)  2 I 2.45
W (0.0000, 0.0000, 0.5000)  2 I 2.45
I (0.0000, 0.0000, 0.0000)  4 W 2.45, 2 Ta 2.50
Sn (0.5000, 0.5000, 0.5000)  4 Ta 3.46, 8 W 3.50
Ta (0.0000, 0.5000, 0.0000)  2 I 2.50

***

[15]
DFT (PBE-GGA) results for a relaxed MgCu2Se2 crystal.

Results
Space group: Fmmm
E above lowest polymorph, meV per atom: 392
ΔE_f (raw), meV per atom: -117

Unit cell a=5.2146 b=5.2177 c=4.8810 alpha=62.07 beta=62.14 gamma=55.79
With the nearest neighbours (Å) after each atom.
Fractional coordinates of all 5 atoms:
Se (0.2500, 0.2500, 0.2500)  4 Cu 2.53
Se (0.7500, 0.7500, 0.7500)  4 Cu 2.53
Cu (0.6650, 0.6650, 0.3350)  4 Se 2.53, 1 Cu 2.58, 1 Mg 2.62
Cu (0.3350, 0.3350, 0.6650)  4 Se 2.53, 1 Cu 2.58, 1 Mg 2.62
Mg (0.0000, 0.0000, 0.0000)  2 Cu 2.62

***

[16]
DFT (PBE-GGA) results for a relaxed La2ZrAl4Au3 crystal.

Results
Space group: P-4m2
Formation energy, meV/atom: -644.8

Unit cell a=4.3949 b=4.3949 c=11.3282 alpha=90.00 beta=90.00 gamma=90.00
With the nearest neighbours (Å) after each atom.
Fractional coordinates of all 10 atoms:
Al (0.0000, 0.0000, 0.0000)  4 Au 2.61
Al (0.5000, 0.5000, 0.0000)  4 Au 2.61
Al (0.0000, 0.5000, 0.3492)  3 Au 2.55-2.78, 2 Zr 2.78
Al (0.5000, 0.0000, 0.6508)  3 Au 2.55-2.78, 2 Zr 2.78
Au (0.0000, 0.5000, 0.1240)  5 Al 2.55-2.61
Au (0.0000, 0.0000, 0.5000)  4 Al 2.78, 4 Zr 3.11
Au (0.5000, 0.0000, 0.8760)  5 Al 2.55-2.61
La (0.0000, 0.5000, 0.7558)  8 Al 3.33-3.53, 6 Au 3.39-3.64, 2 Zr 3.64
La (0.5000, 0.0000, 0.2442)  8 Al 3.33-3.53, 6 Au 3.39-3.64, 2 Zr 3.64
Zr (0.5000, 0.5000, 0.5000)  4 Al 2.78, 4 Au 3.11

***

[17]
DFT (PBE-GGA) results for a relaxed NaPu2O4 crystal.

Results
Space group: P-42m
E above lowest polymorph, meV per atom: 166
ΔE_f (raw), meV per atom: -2394

Unit cell a=5.2458 b=5.2458 c=5.3415 alpha=90.00 beta=90.00 gamma=90.00
With the nearest neighbours (Å) after each atom.
Fractional coordinates of all 7 atoms:
O (0.7662, 0.7662, 0.2992)  2 Pu 2.15, 1 Na 2.36
O (0.7662, 0.2338, 0.7008)  2 Pu 2.15, 1 Na 2.36
O (0.2338, 0.7662, 0.7008)  2 Pu 2.15, 1 Na 2.36
O (0.2338, 0.2338, 0.2992)  2 Pu 2.15, 1 Na 2.36
Pu (0.5000, 0.0000, 0.5000)  4 O 2.15
Pu (0.0000, 0.5000, 0.5000)  4 O 2.15
Na (0.0000, 0.0000, 0.0000)  4 O 2.36

***

[18]
DFT (PBE-GGA) results for a relaxed Ba2CaTiCr crystal.

Results
Space group: P4/mmm
Formation energy, meV/atom: 772.3

Unit cell a=6.4936 b=4.6370 c=6.4936 alpha=90.00 beta=90.00 gamma=90.00
With the nearest neighbours (Å) after each atom.
Fractional coordinates of all 5 atoms:
Ti (0.0000, 0.0000, 0.0000)  2 Cr 2.32
Ba (0.5000, 0.0000, 0.0000)  2 Ti 3.25
Ba (0.0000, 0.0000, 0.5000)  2 Ti 3.25
Cr (0.0000, 0.5000, 0.0000)  2 Ti 2.32
Ca (0.5000, 0.5000, 0.5000)  8 Ba 3.99

***

[19]
DFT (PBE-GGA) results for a relaxed AlTcAu2 crystal.

Results
Space group: Immm
Formation energy, meV/atom: 82.7

Unit cell a=5.5187 b=5.5187 c=5.5187 alpha=149.51 beta=129.71 gamma=59.96
With the nearest neighbours (Å) after each atom.
Fractional coordinates of all 4 atoms:
Au (0.0197, 0.0197, 0.0000)  2 Al 2.64, 6 Au 2.78-2.90
Au (0.4803, 0.4803, 0.0000)  2 Al 2.64, 6 Au 2.78-2.90
Al (0.2500, 0.7500, 0.5000)  4 Au 2.64, 4 Tc 2.76, 2 Al 2.90
Tc (0.7500, 0.2500, 0.5000)  4 Al 2.76, 2 Tc 2.90, 4 Au 2.96

***

[20]
DFT (PBE-GGA) results for a relaxed Cd2C crystal.

Results
Space group: P4_2/mnm
Formation energy, meV/atom: 1033.9
E above lowest polymorph, meV per atom: 290

Unit cell a=5.4939 b=5.4939 c=3.6016 alpha=90.00 beta=90.00 gamma=90.00
With the nearest neighbours (Å) after each atom.
Fractional coordinates of all 6 atoms:
Cd (0.7050, 0.2950, 0.0000)  3 C 2.29-2.40
Cd (0.7950, 0.7950, 0.5000)  3 C 2.29-2.40
Cd (0.2050, 0.2050, 0.5000)  3 C 2.29-2.40
Cd (0.2950, 0.7050, 0.0000)  3 C 2.29-2.40
C (0.0000, 0.0000, 0.0000)  6 Cd 2.29-2.40
C (0.5000, 0.5000, 0.5000)  6 Cd 2.29-2.40

***

| no. | calculated total energy (eV per formula unit) | total moment (μB per formula unit) |
| --- | --- | --- |
| 1 | -40.9 | 0.002 |
| 2 | -41.1 | 0.000 |
| 3 | -36.2 | 0.000 |
| 4 | -14.3 | 1.137 |
| 5 | -85.7 | 1.373 |
| 6 | -24.5 | 0.979 |
| 7 | -10.8 | 0.000 |
| 8 | -9.5 | 0.000 |
| 9 | -33.6 | 0.000 |
| 10 | -17.4 | 0.000 |
| 11 | -54.2 | 0.001 |
| 12 | -15.7 | 0.000 |
| 13 | -30.4 | 2.000 |
| 14 | -31.3 | 0.000 |
| 15 | -17.3 | 0.000 |
| 16 | -49.7 | 0.000 |
| 17 | -66.6 | 9.000 |
| 18 | -19.5 | 2.395 |
| 19 | -20.3 | 0.001 |
| 20 | -8.0 | 0.000 |